Compound: Pa2Ga3Ge3
Source: Alexandria
Functional: PBE-GGA
Structure: relaxed

Structure (POSCAR):
```
Pa2Ga3Ge3
1.0
4.386 0.000 0.000
0.000 4.302 0.000
0.000 0.000 8.341
Pa Ga Ge
2 3 3
Cartesian
0.000 0.000 6.214 Pa
0.000 0.000 2.127 Pa
2.193 2.151 6.284 Ga
2.193 2.151 2.058 Ga
2.193 0.000 0.000 Ga
2.193 0.000 4.171 Ge
0.000 2.151 0.000 Ge
0.000 2.151 4.171 Ge
```

Results
Volume in Å³ per cell: 157
ΔH_f (0 K) in eV/atom: -0.4504
Fermi-level density of states in states/eV/f.u.: 6.23

Compound: NdTm2PuO8
Source: Alexandria
Functional: PBE-GGA
Structure: relaxed

Structure (POSCAR):
```
NdTm2PuO8
1.0
-2.717 1.804 3.895
-2.524 -4.401 0.282
4.809 -2.471 4.497
Nd Tm Pu O
1 2 1 8
Cartesian
2.405 -1.235 2.248 Nd
0.945 -3.130 5.423 Tm
-1.377 -1.937 3.251 Tm
0.000 0.000 0.000 Pu
-1.524 -3.758 1.931 O
1.037 -4.341 7.503 O
-1.647 0.099 4.180 O
1.093 -1.309 6.743 O
-1.468 -0.726 1.172 O
1.216 -5.166 4.494 O
-1.170 -3.010 5.096 O
0.739 -2.058 3.578 O
```

Results
Uncorrected formation energy in kJ/mol of formula units: -3559.1
Volume in Å³ per cell: 181

The highest volume belongs to which entry?
NdTm2PuO8

The lowest volume belongs to which entry?
Pa2Ga3Ge3